1.
# CaMn2Ag PBE relaxed
data_CaMn2Ag
_cell_length_a 4.8452
_cell_length_b 4.8452
_cell_length_c 4.8452
_cell_angle_alpha 60.00
_cell_angle_beta 60.00
_cell_angle_gamma 60.00
_space_group_name_H-M_alt 'P 1'
_space_group_IT_number 1
loop_
_space_group_symop_operation_xyz
'x,y,z'
loop_
_atom_site_label
_atom_site_fract_x
_atom_site_fract_y
_atom_site_fract_z
Ca1 0.7500 0.7500 0.7500
Mn1 0.0000 0.0000 0.0000
Mn2 0.2500 0.2500 0.2500
Ag1 0.5000 0.5000 0.5000
# ΔH_f (0 K) in eV/atom: 0.445
# Total magnetic moment in μB/f.u.: 7.83

=====

2.
# MnAsOs2 PBE relaxed
data_MnAsOs2
_cell_length_a 4.2689
_cell_length_b 4.2689
_cell_length_c 3.0841
_cell_angle_alpha 90.00
_cell_angle_beta 90.00
_cell_angle_gamma 90.00
_space_group_name_H-M_alt 'P 1'
_space_group_IT_number 1
loop_
_space_group_symop_operation_xyz
'x,y,z'
loop_
_atom_site_label
_atom_site_fract_x
_atom_site_fract_y
_atom_site_fract_z
As1 0.5000 0.0000 0.5000
Mn1 0.0000 0.5000 0.5000
Os1 0.0000 0.0000 0.0000
Os2 0.5000 0.5000 0.0000
# ΔH_f (0 K) in eV/atom: 0.249
# Total magnetic moment in μB/f.u.: 3.31

=====

3.
# Co2P2Pd PBE relaxed
data_Co2P2Pd
_cell_length_a 6.5182
_cell_length_b 6.5182
_cell_length_c 2.7793
_cell_angle_alpha 90.00
_cell_angle_beta 90.00
_cell_angle_gamma 90.00
_space_group_name_H-M_alt 'P 1'
_space_group_IT_number 1
loop_
_space_group_symop_operation_xyz
'x,y,z'
loop_
_atom_site_label
_atom_site_fract_x
_atom_site_fract_y
_atom_site_fract_z
P1 0.3510 0.8510 0.0000
P2 0.8510 0.6490 0.0000
P3 0.6490 0.1490 0.0000
P4 0.1490 0.3510 0.0000
Co1 0.1369 0.6369 0.5000
Co2 0.6369 0.8631 0.5000
Co3 0.8631 0.3631 0.5000
Co4 0.3631 0.1369 0.5000
Pd1 0.0000 0.0000 0.0000
Pd2 0.5000 0.5000 0.0000
# ΔH_f (0 K) in eV/atom: -0.340
# Total magnetic moment in μB/f.u.: 0.00
# ΔE to the lowest computed polymorph in meV/atom: 0.0

=====

4.
# LiScPO2 PBE relaxed
data_LiScPO2
_cell_length_a 4.0624
_cell_length_b 4.0624
_cell_length_c 5.3539
_cell_angle_alpha 90.00
_cell_angle_beta 90.00
_cell_angle_gamma 90.00
_space_group_name_H-M_alt 'P 1'
_space_group_IT_number 1
loop_
_space_group_symop_operation_xyz
'x,y,z'
loop_
_atom_site_label
_atom_site_fract_x
_atom_site_fract_y
_atom_site_fract_z
Sc1 0.0000 0.0000 0.0000
P1 0.0000 0.0000 0.5000
O1 0.0000 0.5000 0.0000
O2 0.5000 0.0000 0.0000
Li1 0.5000 0.5000 0.5000
# Total magnetic moment in μB/f.u.: 2.58
# ΔE_f (raw) in eV per atom: -1.04
# ΔE to the lowest computed polymorph in meV/atom: 0.0

=====

5.
# Tb2InSb PBE relaxed
data_Tb2InSb
_cell_length_a 4.3672
_cell_length_b 4.5094
_cell_length_c 12.2369
_cell_angle_alpha 100.62
_cell_angle_beta 90.00
_cell_angle_gamma 90.00
_space_group_name_H-M_alt 'P 1'
_space_group_IT_number 1
loop_
_space_group_symop_operation_xyz
'x,y,z'
loop_
_atom_site_label
_atom_site_fract_x
_atom_site_fract_y
_atom_site_fract_z
Tb1 0.7500 0.6830 0.3659
Tb2 0.2500 0.3170 0.6341
Tb3 0.7500 0.9363 0.8727
Tb4 0.2500 0.0637 0.1273
In1 0.2500 0.4578 0.9156
In2 0.7500 0.5422 0.0844
Sb1 0.2500 0.1889 0.3777
Sb2 0.7500 0.8111 0.6223
# Total magnetic moment in μB/f.u.: 0.00
# ΔE_f (raw) in eV per atom: -0.78
# ΔE to the lowest computed polymorph in meV/atom: 0.0

=====

6.
# Ti2HRuRh PBE relaxed
data_Ti2HRuRh
_cell_length_a 4.2103
_cell_length_b 4.2103
_cell_length_c 3.5096
_cell_angle_alpha 90.00
_cell_angle_beta 90.00
_cell_angle_gamma 90.00
_space_group_name_H-M_alt 'P 1'
_space_group_IT_number 1
loop_
_space_group_symop_operation_xyz
'x,y,z'
loop_
_atom_site_label
_atom_site_fract_x
_atom_site_fract_y
_atom_site_fract_z
Ru1 0.0000 0.0000 0.5000
Rh1 0.5000 0.5000 0.5000
H1 0.0000 0.0000 0.0000
Ti1 0.0000 0.5000 0.0000
Ti2 0.5000 0.0000 0.0000
# Total magnetic moment in μB/f.u.: 0.00
# ΔE to the lowest computed polymorph in meV/atom: 0.0